# 1
# PBE-GGA RbCr2S4, optimized geometry
# E_form (uncorrected)	-0.84	eV/atom
# D(E_F)	0.90	states/eV per atom
# total moment	5.001	μB/f.u.
# E above lowest polymorph	0.0	kJ per mole of atoms
# total DFT energy (no corrections)	-6.084	eV/atom
data_RbCr2S4
_chemical_formula_sum 'Rb4 Cr8 S16'
_symmetry_space_group_name_H-M 'P m m n'
_symmetry_Int_Tables_number 59
_cell_length_a 6.909
_cell_length_b 15.920
_cell_length_c 5.983
_cell_angle_alpha 90.00
_cell_angle_beta 90.00
_cell_angle_gamma 90.00
loop_
_symmetry_equiv_pos_as_xyz
'x,y,z'
'-x,-y,-z'
'-x+1/2,-y+1/2,z'
'x+1/2,y+1/2,-z'
'x+1/2,-y,-z'
'-x+1/2,y,z'
'-x,y+1/2,-z'
'x,-y+1/2,z'
loop_
_atom_site_label
_atom_site_type_symbol
_atom_site_fract_x
_atom_site_fract_y
_atom_site_fract_z
Rb1 Rb 0.250 0.250 0.027
Rb2 Rb 0.250 0.750 0.368
Cr1 Cr 0.000 0.000 0.500
Cr2 Cr 0.250 0.001 0.009
S1 S 0.000 0.083 0.834
S2 S 0.250 0.083 0.340
S3 S 0.250 0.581 0.673

# 2
# PBE-GGA BaHg8Pb4, optimized geometry
# energy relative to the elements	-85	meV per atom
# D(E_F)	0.44	states/eV per atom
# total moment	0.000	μB/f.u.
# total DFT energy (no corrections)	-1.560	eV/atom
data_BaHg8Pb4
_chemical_formula_sum 'Ba2 Hg16 Pb8'
_symmetry_space_group_name_H-M 'I 4/m m m'
_symmetry_Int_Tables_number 139
_symmetry_space_group_name_Hall '-I 4 2'
_cell_length_a 10.676
_cell_length_b 10.676
_cell_length_c 6.861
_cell_angle_alpha 90.00
_cell_angle_beta 90.00
_cell_angle_gamma 90.00
loop_
_atom_site_label
_atom_site_type_symbol
_atom_site_fract_x
_atom_site_fract_y
_atom_site_fract_z
Ba1 Ba 0.000 0.000 0.000
Hg1 Hg 0.000 0.209 0.500
Hg2 Hg 0.000 0.356 0.000
Pb1 Pb 0.250 0.250 0.250